Below is SbOs2RuPt at its PBEsol-relaxed geometry, with properties calculated at the SCAN level. Values from VASP.

Formation energy (no corrections) ... 2512 meV per atom
Crystal system ... tetragonal
Space-group type ... P4/mmm (123)

The structure in Quantum ESPRESSO input format:
```
&SYSTEM
  ibrav = 0, nat = 5, ntyp = 4
/
ATOMIC_SPECIES
Pt 195.08 Pt.upf
Os 190.23 Os.upf
Ru 101.07 Ru.upf
Sb 121.76 Sb.upf
CELL_PARAMETERS angstrom
-3.230 -1.040 -3.188
3.130 -2.522 -2.350
-1.272 -3.993 2.591
ATOMIC_POSITIONS crystal
Pt 0.000 0.000 0.000
Os 0.500 0.000 0.000
Os 0.000 0.500 0.000
Ru 0.500 0.500 0.500
Sb 0.000 0.000 0.500
```

***

Below is Ca2CO3F2 at its PBEsol-relaxed geometry, with properties calculated at the SCAN level. Values from VASP.

Formation energy (no corrections) ... -3097 meV per atom
Crystal system ... orthorhombic
Space-group type ... Pbcn (60)

The structure in Quantum ESPRESSO input format:
```
&SYSTEM
  ibrav = 0, nat = 32, ntyp = 4
/
ATOMIC_SPECIES
O 16.00 O.upf
F 19.00 F.upf
Ca 40.08 Ca.upf
C 12.01 C.upf
CELL_PARAMETERS angstrom
6.484 0.000 0.000
0.000 7.503 0.000
0.000 0.000 7.613
ATOMIC_POSITIONS crystal
O 0.176 0.055 0.133
O 0.250 0.297 0.500
O 0.824 0.945 0.867
O 0.176 0.555 0.367
O 0.824 0.445 0.633
O 0.750 0.703 0.500
O 0.324 0.055 0.867
O 0.676 0.445 0.367
O 0.676 0.945 0.133
O 0.750 0.203 0.000
O 0.324 0.555 0.633
O 0.250 0.797 0.000
F 0.397 0.379 0.121
F 0.397 0.879 0.379
F 0.603 0.621 0.879
F 0.103 0.879 0.621
F 0.103 0.379 0.879
F 0.897 0.621 0.121
F 0.603 0.121 0.621
F 0.897 0.121 0.379
Ca 0.465 0.838 0.675
Ca 0.965 0.662 0.825
Ca 0.035 0.338 0.175
Ca 0.965 0.162 0.675
Ca 0.465 0.338 0.825
Ca 0.535 0.662 0.175
Ca 0.535 0.162 0.325
Ca 0.035 0.838 0.325
C 0.750 0.030 0.000
C 0.250 0.970 0.000
C 0.250 0.470 0.500
C 0.750 0.530 0.500
```

***

Below is TaPOs2 at its PBEsol-relaxed geometry, with properties calculated at the SCAN level. Values from VASP.

Crystal system ... cubic
Space-group type ... Fm-3m (225)
Formation energy from the elements ... 0.171 eV/atom

The structure in Quantum ESPRESSO input format:
```
&SYSTEM
  ibrav = 0, nat = 4, ntyp = 3
/
ATOMIC_SPECIES
Os 190.23 Os.upf
P 30.97 P.upf
Ta 180.95 Ta.upf
CELL_PARAMETERS angstrom
-3.352 -2.755 -0.470
0.668 -4.308 0.222
-1.464 -2.262 3.434
ATOMIC_POSITIONS crystal
Os 0.250 0.250 0.250
Os 0.750 0.750 0.750
P 0.000 0.000 0.000
Ta 0.500 0.500 0.500
```

***

Below is KY at its PBEsol-relaxed geometry, with properties calculated at the SCAN level. Values from VASP.

Crystal system ... tetragonal
Space-group type ... I4_1/amd (141)
Formation energy from the elements ... 0.725 eV/atom

The structure in Quantum ESPRESSO input format:
```
&SYSTEM
  ibrav = 0, nat = 4, ntyp = 2
/
ATOMIC_SPECIES
Y 88.91 Y.upf
K 39.10 K.upf
CELL_PARAMETERS angstrom
-0.275 3.985 4.660
-4.980 -3.247 -1.559
4.768 -2.794 2.670
ATOMIC_POSITIONS crystal
Y 0.750 0.500 0.250
Y 0.500 0.000 0.500
K 0.000 0.000 0.000
K 0.250 0.500 0.750
```

***

Below is BaZn2Sb at its PBEsol-relaxed geometry, with properties calculated at the SCAN level. Values from VASP.

Formation energy (no corrections) ... -78 meV per atom
Crystal system ... cubic
Space-group type ... F-43m (216)

The structure in Quantum ESPRESSO input format:
```
&SYSTEM
  ibrav = 0, nat = 4, ntyp = 3
/
ATOMIC_SPECIES
Sb 121.76 Sb.upf
Ba 137.33 Ba.upf
Zn 65.41 Zn.upf
CELL_PARAMETERS angstrom
-2.034 4.865 0.728
-2.365 2.528 -4.043
-5.276 0.703 0.022
ATOMIC_POSITIONS crystal
Sb 0.250 0.250 0.250
Ba 0.500 0.500 0.500
Zn 0.000 0.000 0.000
Zn 0.750 0.750 0.750
```

***

Below is La2MnW at its PBEsol-relaxed geometry, with properties calculated at the SCAN level. Values from VASP.

Crystal system ... tetragonal
Energy relative to the lowest polymorph listed for this composition ... 196.1 meV per atom
Space-group type ... P4/mmm (123)
Formation energy from the elements ... 0.549 eV/atom

The structure in Quantum ESPRESSO input format:
```
&SYSTEM
  ibrav = 0, nat = 4, ntyp = 3
/
ATOMIC_SPECIES
Mn 54.94 Mn.upf
La 138.91 La.upf
W 183.84 W.upf
CELL_PARAMETERS angstrom
3.563 0.000 0.000
0.000 3.563 0.000
0.000 0.000 7.365
ATOMIC_POSITIONS crystal
Mn 0.500 0.500 0.000
La 0.000 0.000 0.742
La 0.000 0.000 0.258
W 0.500 0.500 0.500
```

***

Below is YScSi2O7 at its PBEsol-relaxed geometry, with properties calculated at the SCAN level. Values from VASP.

Formation energy (no corrections) ... -3514 meV per atom
Crystal system ... monoclinic
Space-group type ... C2 (5)

The structure in Quantum ESPRESSO input format:
```
&SYSTEM
  ibrav = 0, nat = 11, ntyp = 4
/
ATOMIC_SPECIES
O 16.00 O.upf
Si 28.09 Si.upf
Y 88.91 Y.upf
Sc 44.96 Sc.upf
CELL_PARAMETERS angstrom
-1.329 -4.445 -0.705
4.297 -1.085 3.219
-4.022 1.364 3.459
ATOMIC_POSITIONS crystal
O 0.211 0.407 0.104
O 0.720 0.690 0.083
O 0.775 0.243 0.324
O 0.500 0.264 0.736
O 0.225 0.676 0.757
O 0.789 0.896 0.593
O 0.280 0.917 0.310
Si 0.413 0.521 0.922
Si 0.587 0.078 0.479
Y 0.000 0.004 0.996
Sc 0.000 0.615 0.385
```

***

Below is Sr4RuPt at its PBEsol-relaxed geometry, with properties calculated at the SCAN level. Values from VASP.

Crystal system ... cubic
Space-group type ... F-43m (216)
Formation energy from the elements ... 1.130 eV/atom

The structure in Quantum ESPRESSO input format:
```
&SYSTEM
  ibrav = 0, nat = 6, ntyp = 3
/
ATOMIC_SPECIES
Sr 87.62 Sr.upf
Pt 195.08 Pt.upf
Ru 101.07 Ru.upf
CELL_PARAMETERS angstrom
-3.650 4.876 -0.771
-4.610 -0.225 -4.048
-5.812 -0.173 1.972
ATOMIC_POSITIONS crystal
Sr 0.375 0.375 0.875
Sr 0.375 0.875 0.375
Sr 0.375 0.375 0.375
Sr 0.875 0.375 0.375
Pt 0.750 0.750 0.750
Ru 0.000 0.000 0.000
```

***

Below is CuRuRh2 at its PBEsol-relaxed geometry, with properties calculated at the SCAN level. Values from VASP.

Crystal system ... orthorhombic
Energy relative to the lowest polymorph listed for this composition ... 87.7 meV per atom
Space-group type ... Pmm2 (25)
Formation energy from the elements ... 0.120 eV/atom

The structure in Quantum ESPRESSO input format:
```
&SYSTEM
  ibrav = 0, nat = 4, ntyp = 3
/
ATOMIC_SPECIES
Ru 101.07 Ru.upf
Cu 63.55 Cu.upf
Rh 102.91 Rh.upf
CELL_PARAMETERS angstrom
-2.365 1.225 -0.021
-1.712 -3.310 -0.272
-0.211 -0.320 5.216
ATOMIC_POSITIONS crystal
Ru 0.000 0.000 0.499
Cu 0.500 0.500 0.753
Rh 0.500 0.500 0.260
Rh 0.000 0.000 0.988
```

***

Below is MoIrRu2 at its PBEsol-relaxed geometry, with properties calculated at the SCAN level. Values from VASP.

Crystal system ... orthorhombic
Energy relative to the lowest polymorph listed for this composition ... 0.0 meV per atom
Space-group type ... Pmm2 (25)
Formation energy from the elements ... -0.203 eV/atom

The structure in Quantum ESPRESSO input format:
```
&SYSTEM
  ibrav = 0, nat = 4, ntyp = 3
/
ATOMIC_SPECIES
Ru 101.07 Ru.upf
Mo 95.94 Mo.upf
Ir 192.22 Ir.upf
CELL_PARAMETERS angstrom
-0.588 0.589 2.593
-1.744 -3.940 0.500
4.185 -1.683 1.331
ATOMIC_POSITIONS crystal
Ru 0.500 0.000 0.954
Ru 0.000 0.500 0.800
Mo 0.500 0.500 0.286
Ir 0.000 0.000 0.460
```

***

Below is LaZr2SiW at its PBEsol-relaxed geometry, with properties calculated at the SCAN level. Values from VASP.

Formation energy (no corrections) ... 937 meV per atom
Crystal system ... tetragonal
Space-group type ... P4/mmm (123)

The structure in Quantum ESPRESSO input format:
```
&SYSTEM
  ibrav = 0, nat = 5, ntyp = 4
/
ATOMIC_SPECIES
Zr 91.22 Zr.upf
W 183.84 W.upf
Si 28.09 Si.upf
La 138.91 La.upf
CELL_PARAMETERS angstrom
4.854 0.000 0.000
0.000 4.854 0.000
0.000 0.000 5.389
ATOMIC_POSITIONS crystal
Zr 0.500 0.000 0.000
Zr 0.000 0.500 0.000
W 0.500 0.500 0.500
Si 0.000 0.000 0.000
La 0.000 0.000 0.500
```

***

Below is Pr4As3 at its PBEsol-relaxed geometry, with properties calculated at the SCAN level. Values from VASP.

Crystal system ... cubic
Space-group type ... I-43d (220)
Formation energy from the elements ... -1.413 eV/atom

The structure in Quantum ESPRESSO input format:
```
&SYSTEM
  ibrav = 0, nat = 14, ntyp = 2
/
ATOMIC_SPECIES
As 74.92 As.upf
Pr 140.91 Pr.upf
CELL_PARAMETERS angstrom
7.779 0.000 0.000
-2.593 7.334 0.000
-2.593 -3.667 6.351
ATOMIC_POSITIONS crystal
As 0.625 0.250 0.875
As 0.250 0.375 0.125
As 0.125 0.875 0.250
As 0.875 0.750 0.625
As 0.375 0.625 0.750
As 0.750 0.125 0.375
Pr 0.635 0.635 0.135
Pr 0.000 0.500 0.365
Pr 0.500 0.365 0.500
Pr 0.135 0.135 0.635
Pr 0.365 0.000 0.000
Pr 0.000 0.500 0.865
Pr 0.500 0.865 0.500
Pr 0.865 0.000 0.000
```

***

Below is YRe2WO at its PBEsol-relaxed geometry, with properties calculated at the SCAN level. Values from VASP.

Formation energy (no corrections) ... 175 meV per atom
Crystal system ... tetragonal
Space-group type ... P4/mmm (123)

The structure in Quantum ESPRESSO input format:
```
&SYSTEM
  ibrav = 0, nat = 5, ntyp = 4
/
ATOMIC_SPECIES
Y 88.91 Y.upf
W 183.84 W.upf
Re 186.21 Re.upf
O 16.00 O.upf
CELL_PARAMETERS angstrom
-0.085 -0.077 -4.124
4.103 -0.429 -0.077
-0.454 -4.352 0.091
ATOMIC_POSITIONS crystal
Y 0.000 0.000 0.500
W 0.500 0.500 0.500
Re 0.500 0.000 0.000
Re 0.000 0.500 0.000
O 0.000 0.000 0.000
```